# 1
Density functional theory data (PBE) for crystalline Mn5Al12W3 at its relaxed geometry.

Results
For the volume, the calculation gives 1693.96 Å³/cell. The raw total energy comes out at -5.701 eV/atom. The formation enthalpy at 0 K comes out at 15.60 eV/f.u. For the size of the total moment, the calculation gives 0.973 μB/atom. The value obtained for the mass density is 4.51 g/cm3.

Cell lengths 13.007, 13.007, 13.007 Å; angles 109.47, 109.47, 109.47 degrees
Sites, in units of the cell vectors:
1 Mn 0.000 0.000 0.000
2 Mn 0.000 0.000 0.500
3 Mn 0.000 0.500 0.000
4 Mn 0.000 0.500 0.500
5 Mn 0.125 0.750 0.875
6 Mn 0.125 0.875 0.250
7 Mn 0.250 0.125 0.875
8 Mn 0.250 0.625 0.375
9 Mn 0.375 0.250 0.625
10 Mn 0.375 0.625 0.750
11 Mn 0.500 0.000 0.000
12 Mn 0.500 0.000 0.500
13 Mn 0.500 0.500 0.000
14 Mn 0.500 0.500 0.500
15 Mn 0.625 0.375 0.250
16 Mn 0.625 0.750 0.375
17 Mn 0.750 0.375 0.625
18 Mn 0.750 0.875 0.125
19 Mn 0.875 0.125 0.750
20 Mn 0.875 0.250 0.125
21 Al 0.073 0.228 0.148
22 Al 0.073 0.345 0.925
23 Al 0.075 0.648 0.421
24 Al 0.075 0.927 0.655
25 Al 0.079 0.728 0.655
26 Al 0.079 0.852 0.425
27 Al 0.148 0.073 0.228
28 Al 0.148 0.575 0.921
29 Al 0.155 0.228 0.579
30 Al 0.155 0.427 0.575
31 Al 0.228 0.148 0.073
32 Al 0.228 0.579 0.155
33 Al 0.272 0.345 0.921
34 Al 0.272 0.427 0.352
35 Al 0.345 0.921 0.272
36 Al 0.345 0.925 0.073
37 Al 0.352 0.272 0.427
38 Al 0.352 0.579 0.925
39 Al 0.421 0.075 0.648
40 Al 0.421 0.845 0.772
41 Al 0.425 0.079 0.852
42 Al 0.425 0.845 0.573
43 Al 0.427 0.352 0.272
44 Al 0.427 0.575 0.155
45 Al 0.573 0.425 0.845
46 Al 0.573 0.648 0.728
47 Al 0.575 0.155 0.427
48 Al 0.575 0.921 0.148
49 Al 0.579 0.155 0.228
50 Al 0.579 0.925 0.352
51 Al 0.648 0.421 0.075
52 Al 0.648 0.728 0.573
53 Al 0.655 0.075 0.927
54 Al 0.655 0.079 0.728
55 Al 0.728 0.573 0.648
56 Al 0.728 0.655 0.079
57 Al 0.772 0.421 0.845
58 Al 0.772 0.852 0.927
59 Al 0.845 0.573 0.425
60 Al 0.845 0.772 0.421
61 Al 0.852 0.425 0.079
62 Al 0.852 0.927 0.772
63 Al 0.921 0.148 0.575
64 Al 0.921 0.272 0.345
65 Al 0.925 0.073 0.345
66 Al 0.925 0.352 0.579
67 Al 0.927 0.655 0.075
68 Al 0.927 0.772 0.852
69 W 0.125 0.250 0.375
70 W 0.125 0.375 0.750
71 W 0.250 0.375 0.125
72 W 0.250 0.875 0.625
73 W 0.375 0.125 0.250
74 W 0.375 0.750 0.125
75 W 0.625 0.250 0.875
76 W 0.625 0.875 0.750
77 W 0.750 0.125 0.375
78 W 0.750 0.625 0.875
79 W 0.875 0.625 0.250
80 W 0.875 0.750 0.625


# 2
Density functional theory data (PBE) for crystalline MnAlW2 at its relaxed geometry.

Results
For the volume, the calculation gives 129.07 Å³/cell. The raw total energy comes out at -9.047 eV/atom. The formation enthalpy at 0 K comes out at 2.63 eV/f.u. For the size of the total moment, the calculation gives 0.000 μB/atom. The value obtained for the mass density is 11.57 g/cm3.

Cell lengths 5.628, 5.628, 5.628 Å; angles 102.13, 102.13, 125.43 degrees
Sites, in units of the cell vectors:
1 Mn 0.000 0.000 0.000
2 Mn 0.750 0.250 0.500
3 Al 0.250 0.750 0.500
4 Al 0.500 0.500 0.000
5 W 0.073 0.625 0.948
6 W 0.375 0.323 0.448
7 W 0.677 0.125 0.052
8 W 0.875 0.927 0.552


# 3
Density functional theory data (PBE) for crystalline MnAlW2 at its relaxed geometry.

Results
For the volume, the calculation gives 57.73 Å³/cell. The raw total energy comes out at -9.756 eV/atom. The formation enthalpy at 0 K comes out at -0.21 eV/f.u. For the size of the total moment, the calculation gives 0.119 μB/atom. The value obtained for the mass density is 12.93 g/cm3.

Cell lengths 5.071, 5.071, 5.071 Å; angles 144.44, 129.64, 63.16 degrees
Sites, in units of the cell vectors:
1 Mn 0.000 0.000 0.000
2 Al 0.500 0.500 0.000
3 W 0.239 0.739 0.500
4 W 0.761 0.261 0.500


# 4
Density functional theory data (PBE) for crystalline MnAlW2 at its relaxed geometry.

Results
For the volume, the calculation gives 59.66 Å³/cell. The raw total energy comes out at -9.659 eV/atom. The formation enthalpy at 0 K comes out at 0.18 eV/f.u. For the size of the total moment, the calculation gives 0.615 μB/atom. The value obtained for the mass density is 12.51 g/cm3.

Cell lengths 4.984, 4.984, 4.984 Å; angles 135.66, 135.66, 64.51 degrees
Sites, in units of the cell vectors:
1 Mn 0.000 0.000 0.000
2 Al 0.500 0.500 0.000
3 W 0.250 0.750 0.500
4 W 0.750 0.250 0.500